[1]
# Fe2Co2Ag PBE optimized geometry
data_Fe2Co2Ag
_symmetry_space_group_name_H-M 'P 1'
_symmetry_Int_Tables_number 1
_cell_length_a 6.891
_cell_length_b 6.891
_cell_length_c 2.528
_cell_angle_alpha 90.00
_cell_angle_beta 90.00
_cell_angle_gamma 90.00
loop_
_symmetry_equiv_pos_as_xyz
'x,y,z'
loop_
_atom_site_label
_atom_site_fract_x
_atom_site_fract_y
_atom_site_fract_z
_atom_site_occupancy
Fe1 0.117 0.383 0.000 1
Fe2 0.383 0.883 0.000 1
Fe3 0.617 0.117 0.000 1
Fe4 0.883 0.617 0.000 1
Co1 0.172 0.672 0.500 1
Co2 0.328 0.172 0.500 1
Co3 0.672 0.828 0.500 1
Co4 0.828 0.328 0.500 1
Ag1 0.000 0.000 0.000 1
Ag2 0.500 0.500 0.000 1
# - Symmetry: P4/mbm (127)
# - E_form: 463 meV per atom
# - Uncorrected energy: -6.335 eV/atom
# - N(E_F): 17.572 states/eV/cell
# - Distance to the lowest polymorph of the same formula: 0 meV per atom


[2]
# Fe3CoAg PBE optimized geometry
data_Fe3CoAg
_symmetry_space_group_name_H-M 'P 1'
_symmetry_Int_Tables_number 1
_cell_length_a 4.346
_cell_length_b 4.346
_cell_length_c 4.346
_cell_angle_alpha 90.00
_cell_angle_beta 90.00
_cell_angle_gamma 90.00
loop_
_symmetry_equiv_pos_as_xyz
'x,y,z'
loop_
_atom_site_label
_atom_site_fract_x
_atom_site_fract_y
_atom_site_fract_z
_atom_site_occupancy
Fe1 0.000 0.000 0.500 1
Fe2 0.000 0.500 0.000 1
Fe3 0.500 0.000 0.000 1
Co1 0.000 0.000 0.000 1
Ag1 0.500 0.500 0.500 1
# - Symmetry: Pm-3m (221)
# - E_form: 938 meV per atom
# - Uncorrected energy: -6.131 eV/atom
# - N(E_F): 6.274 states/eV/cell
# - Distance to the lowest polymorph of the same formula: 0 meV per atom


Look up the E_form of the first one.
463 meV per atom


The highest uncorrected energy belongs to which entry?
Fe3CoAg